Computed, not measured: TcTe2Rh at its PBEsol-relaxed geometry at the meta-GGA SCAN level of DFT.

It has space group Fm-3m (No. 225), with a = 6.588 Å, b = 6.588 Å, c = 6.588 Å, α = 90.00°, β = 90.00° and γ = 90.00°. The asymmetric unit holds Tc at (0.000, 0.000, 0.000), Te at (0.250, 0.250, 0.250) and Rh at (0.000, 0.000, 0.500).

Its polymorph energy (0 for the lowest one) is 0.23 eV/f.u. As for the formation energy without anion corrections: 0.242 eV per atom. The calculation puts the raw total energy at -1.308 Ha/atom.